Entry 1:
Material: Er4Tl2Te5
Method: DFT, PBE-GGA
State: relaxed

```
Er4Tl2Te5
1.0
4.2024 0.0000 0.0000
0.0000 7.1876 0.6234
-2.1012 -1.0302 13.5358
Er Tl Te
4 2 5
Cartesian
2.1012 3.6192 5.4718
0.0000 5.1761 1.2014
0.0000 2.5382 8.6875
2.1012 0.9812 12.9579
2.1012 3.9757 11.4350
0.0000 2.1816 2.7243
0.0000 5.3362 4.1343
2.1012 0.8211 10.0250
0.0000 1.4615 5.9160
2.1012 0.0000 0.0000
2.1012 4.6958 8.2432
```

* uncorrected energy: -4.2822 eV per atom
* M_tot: 0.00 μB/cell
* formation energy from raw total energies: -0.76 eV/atom

Entry 2:
Material: Er3TlTe2
Method: DFT, PBE-GGA
State: relaxed

```
Er3TlTe2
1.0
6.1448 -0.0084 0.0000
0.0153 8.6568 0.0000
0.0000 0.0000 13.0857
Er Tl Te
12 4 8
Cartesian
1.5496 5.3616 7.5973
1.5420 1.0332 12.0313
1.5465 5.5201 12.0426
1.5388 1.1917 7.5860
1.5408 5.4091 3.2769
1.5332 1.0808 3.2660
4.6270 7.5676 9.8197
4.6193 3.2392 9.8089
4.6214 7.4566 5.4997
4.6137 3.1282 1.0432
4.6182 7.6151 1.0545
4.6105 3.2867 5.4884
1.5456 7.5735 1.1453
1.5379 3.2451 5.3976
4.6223 5.4032 7.6882
4.6146 1.0748 11.9404
1.5545 7.5891 9.7361
1.5469 3.2608 9.8925
1.5490 7.6051 5.4665
1.5413 3.2768 1.0763
4.6189 5.3716 12.0094
4.6112 1.0432 7.6192
4.6133 5.3876 3.1933
4.6056 1.0592 3.3496
```

* uncorrected energy: -4.6582 eV per atom
* M_tot: 0.00 μB/cell
* formation energy from raw total energies: -0.94 eV/atom
* offset from the most stable computed form: 0.44 kcal/mol of atoms

Entry 3:
Material: Er7Tl2Te2
Method: DFT, PBE-GGA
State: relaxed

```
Er7Tl2Te2
1.0
-3.2312 -3.0578 0.2191
3.2618 -6.2803 5.7277
-2.9034 0.4414 8.6177
Er Tl Te
7 2 2
Cartesian
-3.2188 -2.8658 3.0825
-3.9650 -4.8246 10.0142
-4.4765 -1.1338 8.7073
-1.1909 -4.8592 5.1676
-0.2829 -5.5627 8.7412
-0.9321 -4.6373 12.0811
-1.7304 -0.9947 5.8734
-1.5233 -7.3395 10.9250
-0.2220 -2.7864 3.1110
1.6987 -4.5761 6.4604
-2.3246 -3.4800 7.6986
```

* uncorrected energy: -4.4895 eV per atom
* M_tot: 0.01 μB/cell
* formation energy from raw total energies: -0.58 eV/atom
* offset from the most stable computed form: 0.00 kcal/mol of atoms

Entry 4:
Material: Er4TlTe3
Method: DFT, PBE-GGA
State: relaxed

```
Er4TlTe3
1.0
-0.9133 0.5330 4.1829
7.0363 -2.0749 1.8008
-0.1933 7.4852 -0.9961
Er Tl Te
4 1 3
Cartesian
1.6340 1.2919 0.1922
4.8315 0.5032 3.2160
5.2090 4.1184 0.6126
1.0981 5.4401 1.7716
-0.4567 0.2665 2.0914
-0.0967 3.7426 -0.4980
2.9648 2.9717 2.4938
3.5182 -1.0375 0.9004
```

* uncorrected energy: -4.7757 eV per atom
* M_tot: 0.00 μB/cell
* formation energy from raw total energies: -1.02 eV/atom
* offset from the most stable computed form: 0.20 kcal/mol of atoms

Entry 5:
Material: Er4TlTe
Method: DFT, PBE-GGA
State: relaxed

```
Er4TlTe
1.0
4.6235 0.0000 0.0000
0.0000 7.3236 0.0000
0.0000 0.0000 20.7533
Er Tl Te
16 4 4
Cartesian
3.4677 6.8281 13.3064
1.1559 0.4954 7.4469
1.1559 4.1572 2.9298
3.4677 3.1663 17.8235
3.4677 6.3044 9.7928
1.1559 1.0192 10.9605
1.1559 4.6809 20.1694
3.4677 2.6426 0.5838
3.4677 6.9503 19.1702
1.1559 0.3733 1.5831
1.1559 4.0350 8.7936
3.4677 3.2885 11.9597
3.4677 6.6664 4.5085
1.1559 0.6571 16.2448
1.1559 4.3189 14.8851
3.4677 3.0046 5.8682
3.4677 2.0829 8.8791
1.1559 5.2407 11.8742
1.1559 1.5789 19.2557
3.4677 5.7446 1.4976
3.4677 5.8488 16.2883
1.1559 1.4747 4.4650
1.1559 5.1365 5.9116
3.4677 2.1871 14.8416
```

* uncorrected energy: -4.4380 eV per atom
* M_tot: 0.00 μB/cell
* formation energy from raw total energies: -0.48 eV/atom
* offset from the most stable computed form: 0.63 kcal/mol of atoms

Entry 6:
Material: Er3TlTe2
Method: DFT, PBE-GGA
State: relaxed

```
Er3TlTe2
1.0
-3.7137 -1.9228 -0.5777
2.8903 -5.3837 -0.6611
-0.0633 2.5879 7.2185
Er Tl Te
3 1 2
Cartesian
-2.1454 -2.9735 0.5505
1.2587 -1.7451 5.4292
-1.8885 0.3326 3.3204
-0.4434 -2.3593 2.9899
-0.6942 -5.6518 0.1359
-0.1925 0.9332 5.8438
```

* uncorrected energy: -4.6774 eV per atom
* M_tot: 0.00 μB/cell
* formation energy from raw total energies: -0.95 eV/atom
* offset from the most stable computed form: 0.00 kcal/mol of atoms

Entry 7:
Material: Er6TlTe8
Method: DFT, PBE-GGA
State: relaxed

```
Er6TlTe8
1.0
4.4026 0.0000 0.0000
0.0000 11.5787 0.0000
0.0000 -5.7894 10.0275
Er Tl Te
6 1 8
Cartesian
3.2981 2.1916 6.5131
3.2981 -0.9470 8.6689
3.2981 -1.2446 4.8729
1.1045 3.5978 3.5143
1.1045 6.7363 1.3586
1.1045 7.0340 5.1545
2.2013 0.0000 0.0000
3.3023 1.9994 9.5818
3.3023 -3.5084 6.9681
3.3023 1.5090 3.5050
1.1003 3.7899 0.4457
1.1003 9.2978 3.0593
1.1003 4.2804 6.5224
3.3068 5.7894 3.3425
1.0958 0.0000 6.6850
```

* uncorrected energy: -4.8673 eV per atom
* M_tot: 0.00 μB/cell
* formation energy from raw total energies: -1.21 eV/atom

Entry 8:
Material: Er6Tl3Te
Method: DFT, PBE-GGA
State: relaxed

```
Er6Tl3Te
1.0
-4.7824 -3.9858 -2.5672
6.3778 -3.2905 -6.7723
-0.5405 -4.8687 8.5657
Er Tl Te
12 6 2
Cartesian
4.2488 -5.8176 0.1178
0.9658 -8.0139 0.8112
0.9323 -7.0204 4.2193
1.9006 -8.2469 -4.5125
-1.9097 -6.0275 7.7500
-2.0893 -7.3311 2.4037
3.3488 -4.6432 -3.0677
2.5588 -6.4556 -8.7416
-1.1313 -4.1360 3.5853
-0.1629 -5.3625 -5.1465
1.9391 -2.5892 -0.5918
-1.3438 -4.7855 0.1015
2.8443 -8.5530 -1.6101
3.7397 -6.9013 2.9897
1.5223 -4.8938 1.7373
0.2860 -6.6232 -2.1067
0.1911 -1.9413 1.8995
-0.7043 -3.5930 -2.7004
0.3209 -4.7716 6.2038
2.7968 -5.6542 -5.8703
```

* uncorrected energy: -4.0950 eV per atom
* M_tot: 0.00 μB/cell
* formation energy from raw total energies: -0.33 eV/atom

- formation energy from raw total energies of number 1 (Er4Tl2Te5)?
  -0.76 eV/atom